[1]
Density functional theory data (PBE) for Ho8Tl2Os after structural relaxation.

Properties
Crystal system = monoclinic
DOS(E_F) = 19.49 states/eV per cell

Cell lengths 18.1740, 5.2565, 6.9107 Å; angles 90.00, 112.00, 90.00 degrees
Last column: nearest neighbours and their distance in Å.
Space group C2/m (No. 12)
Symmetry-distinct sites (fractional):
Ho (0.0160, 0.0000, 0.2898)  2 Os 3.07, 1 Tl 3.16, 5 Ho 3.17-3.44
Ho (0.0908, 0.5000, 0.9249)  1 Os 2.78
Ho (0.1464, 0.5000, 0.4548)  1 Os 2.79
Ho (0.2002, 0.0000, 0.7941)  1 Tl 3.08, 2 Ho 3.41
Tl (0.1766, 0.0000, 0.2129)  7 Ho 3.08-3.31
Os (0.0000, 0.5000, 0.5000)  8 Ho 2.78-3.07

***

[2]
Density functional theory data (PBE) for LaGeC after structural relaxation.

Properties
Crystal system = monoclinic
Polymorph energy (0 for the lowest one) = 36 meV per atom
DOS(E_F) = 3.05 states/eV per cell

Cell lengths 7.2629, 4.0308, 8.7207 Å; angles 90.00, 94.09, 90.00 degrees
Last column: nearest neighbours and their distance in Å.
Space group Cm (No. 8)
Symmetry-distinct sites (fractional):
La (0.0000, 0.0000, 0.0000)  1 C 2.45
La (0.2146, 0.5000, 0.6400)  3 C 2.48-2.76
Ge (0.0302, 0.0000, 0.3852)  3 Ge 2.57-2.63
Ge (0.3529, 0.0000, 0.2659)  3 Ge 2.57-2.63
C (0.2769, 0.0000, 0.8542)  1 C 1.32
C (0.4299, 0.0000, 0.7802)  1 C 1.32

***

| no. | energy of formation (kJ/mol of formula units) |
| --- | --- |
| 1 | -212 |
| 2 | -112 |